# HWCO2 | Alexandria | GGA+U | relaxed
# Magnetic moment: 0.6 μB per formula unit
# Raw total energy: -5.69 eV per atom
data_HWCO2
_cell_length_a 3.851
_cell_length_b 3.851
_cell_length_c 4.280
_cell_angle_alpha 90.00
_cell_angle_beta 90.00
_cell_angle_gamma 90.00
_space_group_name_H-M_alt 'P 4/m m m'
_space_group_IT_number 123
_space_group_name_Hall '-P 4 2'
loop_
_atom_site_label
_atom_site_fract_x
_atom_site_fract_y
_atom_site_fract_z
H1 0.000 0.000 0.000
W1 0.500 0.500 0.500
C1 0.500 0.500 0.000
O1 0.000 0.500 0.500